VASP calculation (PBE-GGA) on crystalline ReSn3Rh at its relaxed geometry.

Unit cell a=5.121 b=5.121 c=5.121 alpha=90.00 beta=90.00 gamma=90.00
Each line ends with the local moment (μB).
Fractional coordinates of all 5 atoms:
Rh (0.500, 0.500, 0.500)  0.20
Sn (0.500, 0.000, 0.000)  -0.02
Sn (0.000, 0.500, 0.000)  0.00
Sn (0.000, 0.000, 0.500)  0.01
Re (0.000, 0.000, 0.000)  -0.04

Calculated values
The calculated formation energy comes out at 0.850 eV/atom. Its total energy is -27.56 eV/cell. For the energy above the lowest structure with this stoichiometry, the calculation gives 0 meV per atom.